Record 1
Material: Pr5YTm
Method: DFT, PBE
State: optimized geometry

Cell lengths 8.982, 8.982, 10.998 Å; angles 123.34, 123.34, 43.91 degrees
Positions (direct):
Pr  0.012  0.988  0.750
Pr  0.079  0.575  0.910
Pr  0.159  0.658  0.406
Pr  0.342  0.841  0.094
Pr  0.425  0.921  0.590
Pr  0.575  0.079  0.410
Pr  0.658  0.159  0.906
Pr  0.841  0.342  0.594
Pr  0.921  0.425  0.090
Pr  0.988  0.012  0.250
Y  0.487  0.513  0.750
Y  0.513  0.487  0.250
Tm  0.000  0.500  0.500
Tm  0.500  0.000  0.000

The symmetry is C2/c, No. 15. As for the energy of formation: 0.1481 eV per atom. As for the offset from the most stable computed form: 0 meV per atom.



Record 2
Material: KGa2Sb2Au6
Method: DFT, PBE
State: optimized geometry

Cell lengths 6.528, 6.660, 7.272 Å; angles 76.90, 64.29, 61.00 degrees
Positions (direct):
K  0.000  0.000  0.000
Ga  0.408  0.225  0.957
Ga  0.592  0.775  0.043
Sb  0.145  0.208  0.494
Sb  0.855  0.792  0.506
Au  0.080  0.508  0.786
Au  0.383  0.745  0.473
Au  0.398  0.464  0.212
Au  0.602  0.536  0.788
Au  0.617  0.255  0.527
Au  0.920  0.492  0.214

The symmetry is P-1, No. 2.



Record 3
Material: AcLa4Pm4
Method: DFT, PBE
State: optimized geometry

Cell lengths 10.223, 10.223, 7.824 Å; angles 94.30, 94.30, 125.18 degrees
Positions (direct):
Ac  0.011  0.011  0.264
Ac  0.989  0.989  0.736
La  0.168  0.832  0.000
La  0.186  0.814  0.500
La  0.191  0.484  0.327
La  0.484  0.191  0.327
La  0.516  0.809  0.673
La  0.809  0.516  0.673
La  0.814  0.186  0.500
La  0.832  0.168  0.000
Pm  0.155  0.506  0.827
Pm  0.330  0.330  0.035
Pm  0.356  0.356  0.618
Pm  0.494  0.845  0.173
Pm  0.506  0.155  0.827
Pm  0.644  0.644  0.382
Pm  0.670  0.670  0.965
Pm  0.845  0.494  0.173

The symmetry is C2/m, No. 12. As for the energy of formation: 0.0921 eV per atom. As for the offset from the most stable computed form: 68 meV per atom.



Record 4
Material: Sr2YThSe4
Method: DFT, PBE
State: optimized geometry

Cell lengths 7.326, 4.212, 7.567 Å; angles 90.00, 108.61, 90.00 degrees
Positions (direct):
Sr  0.000  0.000  0.000
Sr  0.500  0.500  0.000
Y  0.000  0.500  0.500
Th  0.500  0.000  0.500
Se  0.240  0.000  0.734
Se  0.248  0.500  0.261
Se  0.752  0.500  0.739
Se  0.760  0.000  0.266

The symmetry is P2/m, No. 10.



Record 5
Material: TlAgOs2
Method: DFT, PBE
State: optimized geometry

Cell lengths 2.889, 2.889, 8.527 Å; angles 90.00, 90.00, 90.00 degrees
Positions (direct):
Tl  0.000  0.000  0.000
Ag  0.500  0.500  0.294
Os  0.000  0.000  0.544
Os  0.500  0.500  0.729

The symmetry is P4mm, No. 99. As for the energy of formation: 0.5133 eV per atom. As for the offset from the most stable computed form: 0 meV per atom.



Record 6
Material: Mg3Tc
Method: DFT, PBE
State: optimized geometry

Cell lengths 2.860, 2.860, 9.542 Å; angles 90.00, 90.00, 106.82 degrees
Positions (direct):
Mg  0.000  0.000  0.000
Mg  0.500  0.500  0.276
Mg  0.500  0.500  0.724
Tc  0.000  0.000  0.500

The symmetry is Cmmm, No. 65. As for the energy of formation: 0.2036 eV per atom.



Calculated total energy across the listed records, respectively: -67.59, -36.84, -83.98, -45.48, -25.62, -14.34 eV for the cell shown.
Theoretical density across the listed records, respectively: 6.45, 10.69, 6.86, 6.09, 16.16, 3.80 g/cm³.